1.
Li4Ti3Co3W2O16: PBEsol geometry, SCAN.

Results
As for the symmetry: Cm, No. 8. As for the formation energy (no corrections): -2.36 eV per atom. Its total energy is -14.8161 eV per atom.

Geometry as extended XYZ:
```
28
Lattice="-1.7054 -1.2905 -5.3696 3.8600 -1.9798 -3.8193 -1.9132 -9.1290 2.8097" Properties=species:S:1:pos:R:3 pbc="T T T"
O -1.3905 -3.8991 -1.7830
Co -0.0077 -2.5314 -1.0976
W -0.4813 -11.1114 -3.2121
O 0.3847 -4.6441 -3.4458
Li -1.8668 -8.9786 2.7100
Li 0.6500 -5.8704 -4.9432
Li -1.0242 -9.3241 -0.4685
O 1.1793 -4.2174 -1.0672
O -0.5372 -9.4795 -2.2857
O -1.5130 -7.2395 2.2131
Ti 1.8227 -3.4793 -2.6961
W -0.2374 -5.5942 -1.6348
Ti 0.3788 -9.3293 -5.5076
O -0.2668 -2.5764 -5.5051
O 0.5618 -2.0268 -2.9178
O 1.5796 -6.0079 -8.3417
O 1.5877 -3.6336 -7.3152
O -1.5738 -6.5572 -2.5053
O -0.7517 -5.8969 0.0769
O 1.0972 -6.8880 -1.7612
Ti -0.9269 -3.1388 -3.4621
O -1.2319 -10.1302 -4.8074
O 2.4438 -2.9121 -4.7500
Li 1.2126 -7.7557 -7.8014
O 1.1772 -10.4285 -4.1364
Co -1.3607 -8.2789 -3.7602
O 0.3138 -7.6838 -4.5424
Co 1.1699 -8.5923 -3.0553
```



2.
Li4Co3WO8: PBEsol geometry, SCAN.

Results
As for the symmetry: R-3m, No. 166. As for the formation energy (no corrections): -1.85 eV per atom. Its total energy is -13.1666 eV per atom.

Geometry as extended XYZ:
```
16
Lattice="-4.2187 3.0418 2.7904 -4.9680 1.5770 -2.7691 -5.1753 -2.4934 1.3545" Properties=species:S:1:pos:R:3 pbc="T T T"
Co -5.0717 -0.4582 -0.7073
Li -2.1093 1.5209 1.3952
O -10.6490 1.5759 1.0201
O -8.7131 0.0068 -0.4314
O -6.1565 -0.8182 1.0454
Co -4.6970 0.2742 2.0725
O -6.0465 1.3414 -1.1424
O -3.7130 0.5495 0.3557
O -5.6489 2.1186 1.8072
Li -2.4840 0.7885 -1.3845
Li -2.5877 -1.2467 0.6772
O -8.3155 0.7839 2.5183
W 0.0000 0.0000 0.0000
Li -7.1810 1.0627 0.6879
O -8.2055 2.9435 0.3305
Co -4.5933 2.3094 0.0107
```



3.
Li2CoW2O8: PBEsol geometry, SCAN.

Results
As for the symmetry: P-1, No. 2. As for the formation energy (no corrections): -2.20 eV per atom. Its total energy is -18.4513 eV per atom.

Geometry as extended XYZ:
```
13
Lattice="-2.2518 -1.2402 -4.1643 3.1971 -0.2339 -4.5947 2.8184 -5.0862 -0.1869" Properties=species:S:1:pos:R:3 pbc="T T T"
O 2.0340 -0.9147 -4.6903
O 2.3754 -3.6902 -2.1306
Li 4.9908 -4.0583 -4.5522
O 0.6213 -3.2527 -4.2105
O 0.7526 -1.3103 -2.1984
W 1.8342 -2.1448 -3.3510
W 1.9295 -4.4155 -5.5949
O 1.7297 -5.6455 -4.2556
O 1.3883 -2.8700 -6.8153
Li -1.2271 -2.5019 -4.3937
O 3.0110 -5.2500 -6.7475
O 3.1424 -3.3076 -4.7354
Co -1.1259 -0.6201 -2.0821
```



4.
LiCoOs2: PBEsol geometry, SCAN.

Results
As for the symmetry: F-43m, No. 216. For the formation energy from the elements, the calculation gives 90 meV per atom. Its density of states at the Fermi level is 0.221 states/eV per atom. Its total energy is -40.7737 eV per atom. For the energy relative to the lowest polymorph listed for this composition, the calculation gives 0 meV/atom.

Geometry as extended XYZ:
```
4
Lattice="-3.3711 1.9458 1.3850 -2.4434 -1.8290 2.7845 -0.1236 1.4088 3.8819" Properties=species:S:1:pos:R:3 pbc="T T T"
Co -2.9691 0.7628 4.0257
Os 0.0000 0.0000 0.0000
Os -1.4845 0.3814 2.0128
Li -4.4536 1.1442 6.0385
```



5.
LiCoOs3: PBEsol geometry, SCAN.

Results
As for the symmetry: Pm-3m, No. 221. For the formation energy from the elements, the calculation gives 1855 meV per atom. Its density of states at the Fermi level is 1.251 states/eV per atom. Its total energy is -45.2118 eV per atom.

Geometry as extended XYZ:
```
5
Lattice="4.3756 0.0000 0.0000 0.0000 4.3756 0.0000 0.0000 0.0000 4.3756" Properties=species:S:1:pos:R:3 pbc="T T T"
Os 0.0000 0.0000 2.1878
Co 0.0000 0.0000 0.0000
Os 0.0000 2.1878 0.0000
Os 2.1878 0.0000 0.0000
Li 2.1878 2.1878 2.1878
```



6.
LiCoOs: PBEsol geometry, SCAN.

Results
As for the symmetry: P3m1, No. 156. For the formation energy from the elements, the calculation gives 353 meV per atom. Its density of states at the Fermi level is 0.896 states/eV per atom. Its total energy is -30.1716 eV per atom.

Geometry as extended XYZ:
```
3
Lattice="-2.4139 0.5722 -0.3542 -1.0611 -3.1208 2.1896 0.5814 3.5169 1.7185" Properties=species:S:1:pos:R:3 pbc="T T T"
Os -0.7636 1.4934 1.7585
Li -2.3235 -0.4792 1.7669
Co -2.2203 0.5263 -0.3258
```



7.
Li3CoOs: PBEsol geometry, SCAN.

Results
As for the symmetry: Pm-3m, No. 221. For the formation energy from the elements, the calculation gives 1403 meV per atom. Its density of states at the Fermi level is 0.590 states/eV per atom. Its total energy is -17.8676 eV per atom.

Geometry as extended XYZ:
```
5
Lattice="4.5297 0.0000 0.0000 0.0000 4.5297 0.0000 0.0000 0.0000 4.5297" Properties=species:S:1:pos:R:3 pbc="T T T"
Co 2.2649 2.2649 2.2649
Os 0.0000 0.0000 0.0000
Li 0.0000 2.2649 0.0000
Li 2.2649 0.0000 0.0000
Li 0.0000 0.0000 2.2649
```



8.
LiCoOs2: PBEsol geometry, SCAN.

Results
As for the symmetry: C2/m, No. 12. For the formation energy from the elements, the calculation gives 254 meV per atom. Its density of states at the Fermi level is 0.736 states/eV per atom. Its total energy is -40.6097 eV per atom. For the energy relative to the lowest polymorph listed for this composition, the calculation gives 164 meV/atom.

Geometry as extended XYZ:
```
4
Lattice="-0.5538 -1.0707 2.3313 -1.0991 -3.8647 -2.0361 4.5168 -0.1088 -0.4544" Properties=species:S:1:pos:R:3 pbc="T T T"
Li -0.5496 -1.9323 -1.0180
Co -0.2769 -0.5354 1.1657
Os 1.1575 -3.8030 0.0056
Os 1.7064 -1.2412 -0.1647
```



9.
LiCo2Os: PBEsol geometry, SCAN.

Results
As for the symmetry: Cmmm, No. 65. For the formation energy from the elements, the calculation gives 309 meV per atom. Its density of states at the Fermi level is 0.618 states/eV per atom. Its total energy is -26.9105 eV per atom. For the energy relative to the lowest polymorph listed for this composition, the calculation gives 29 meV/atom.

Geometry as extended XYZ:
```
4
Lattice="2.5423 0.0024 0.0000 -1.1187 2.2829 0.0000 0.0000 0.0000 8.5702" Properties=species:S:1:pos:R:3 pbc="T T T"
Co 0.0000 0.0000 6.4574
Os 0.7118 1.1427 0.0000
Co 0.0000 0.0000 2.1128
Li 0.7118 1.1427 4.2851
```



10.
LiCo2Os: PBEsol geometry, SCAN.

Results
As for the symmetry: Pmm2, No. 25. For the formation energy from the elements, the calculation gives 280 meV per atom. Its density of states at the Fermi level is 0.748 states/eV per atom. Its total energy is -26.9397 eV per atom. For the energy relative to the lowest polymorph listed for this composition, the calculation gives 0 meV/atom.

Geometry as extended XYZ:
```
4
Lattice="2.5077 0.0000 0.0000 0.0000 3.7191 0.0000 0.0000 0.0000 4.9157" Properties=species:S:1:pos:R:3 pbc="T T T"
Li 0.0000 0.0000 2.3576
Os 1.2538 1.8596 3.7760
Co 1.2538 1.8596 1.3176
Co 0.0000 0.0000 4.8380
```



11.
LiCoOs2: PBEsol geometry, SCAN.

Results
As for the symmetry: Pm, No. 6. For the formation energy from the elements, the calculation gives 286 meV per atom. Its density of states at the Fermi level is 0.692 states/eV per atom. Its total energy is -40.5775 eV per atom. For the energy relative to the lowest polymorph listed for this composition, the calculation gives 196 meV/atom.

Geometry as extended XYZ:
```
4
Lattice="-2.2414 1.2512 0.4179 -1.0692 -0.6669 -3.7383 -0.8986 -4.6757 1.0912" Properties=species:S:1:pos:R:3 pbc="T T T"
Li -1.8843 -3.3834 -0.9390
Os -2.0177 -0.7984 -1.3620
Os -2.9866 -3.4771 1.4745
Co -0.9100 -2.1947 0.6518
```



12.
Li2CoP2: PBEsol geometry, SCAN.

Results
As for the symmetry: P4/mbm, No. 127. For the formation energy from the elements, the calculation gives -667 meV per atom. Its density of states at the Fermi level is 0.234 states/eV per atom. Its total energy is -9.2435 eV per atom.

Geometry as extended XYZ:
```
10
Lattice="-2.5476 -0.2074 -3.1905 -0.0291 -5.5806 0.3860 -4.3749 0.2633 3.4762" Properties=species:S:1:pos:R:3 pbc="T T T"
Co 0.0000 0.0000 0.0000
Co -2.2020 -2.6587 1.9311
Li -4.2363 -0.9078 0.8226
Li -2.7153 -4.6169 -0.1508
P -3.7750 -1.7850 3.1303
Li -2.0531 -1.8656 -0.8584
P -0.6291 -3.5323 0.7319
P -1.5811 -0.6838 1.3069
P -2.8230 -4.6335 2.5553
Li -4.8985 -3.6591 1.5302
```